! Dy3TeRh (PBE-GGA, optimized geometry); values from VASP
! * crystal system: orthorhombic
! * energy above the most stable polymorph in this dataset: 0.000 eV per atom
&SYSTEM
  ibrav = 0, nat = 20, ntyp = 3
/
ATOMIC_SPECIES
Dy 162.50 Dy.upf
Te 127.60 Te.upf
Rh 102.91 Rh.upf
ATOMIC_POSITIONS crystal
Dy 0.250 0.360 0.552
Dy 0.750 0.823 0.206
Dy 0.750 0.485 0.908
Dy 0.750 0.985 0.592
Dy 0.750 0.640 0.448
Dy 0.250 0.015 0.408
Dy 0.250 0.860 0.948
Dy 0.750 0.323 0.294
Dy 0.250 0.677 0.706
Dy 0.250 0.177 0.794
Dy 0.750 0.140 0.052
Dy 0.250 0.515 0.092
Te 0.750 0.878 0.800
Te 0.250 0.122 0.200
Te 0.750 0.378 0.700
Te 0.250 0.622 0.300
Rh 0.250 0.262 0.958
Rh 0.250 0.762 0.542
Rh 0.750 0.238 0.458
Rh 0.750 0.738 0.042
CELL_PARAMETERS angstrom
-2.872 -1.328 -2.828
5.567 -3.164 -4.168
-1.744 -14.173 8.429


! Pr6InRu2Br3 (PBE-GGA, optimized geometry); values from VASP
! * crystal system: monoclinic
&SYSTEM
  ibrav = 0, nat = 12, ntyp = 4
/
ATOMIC_SPECIES
Pr 140.91 Pr.upf
In 114.82 In.upf
Ru 101.07 Ru.upf
Br 79.90 Br.upf
ATOMIC_POSITIONS crystal
Pr 0.932 0.560 0.795
Pr 0.696 0.696 0.205
Pr 0.068 0.440 0.205
Pr 0.560 0.932 0.795
Pr 0.304 0.304 0.795
Pr 0.440 0.068 0.205
In 0.000 0.000 0.000
Ru 0.334 0.666 0.000
Ru 0.666 0.334 0.000
Br 0.165 0.835 0.500
Br 0.835 0.165 0.500
Br 0.500 0.500 0.500
CELL_PARAMETERS angstrom
-3.359 6.553 -0.113
-1.865 -5.017 5.058
7.245 2.394 3.263


Here are the calculated energy relative to the elements, uncorrected numbers, same order: -0.906; -0.785 (eV per atom).